# InW2Se (GGA-PBE, optimized geometry)
data_InW2Se
_space_group_name_H-M_alt 'C 1 m 1'
_space_group_IT_number 8
_cell_length_a 9.301
_cell_length_b 3.199
_cell_length_c 5.400
_cell_angle_alpha 90.00
_cell_angle_beta 103.62
_cell_angle_gamma 90.00
loop_
_space_group_symop_operation_xyz
'x,y,z'
'x,-y,z'
'x+1/2,y+1/2,z'
'x+1/2,-y+1/2,z'
loop_
_atom_site_label
_atom_site_type_symbol
_atom_site_fract_x
_atom_site_fract_y
_atom_site_fract_z
In1 In 0.000 0.000 0.000
W1 W 0.022 0.500 0.525
W2 W 0.237 0.000 0.729
Se1 Se 0.279 0.500 0.374
# formation energy without anion corrections	0.58	eV/atom
# E above lowest polymorph	1.14	eV per formula unit
# volume	19.52	A^3/atom
# Fermi-level density of states	8.3	states/eV/cell